Entry 1
## Ba2HfZr (PBE)

Data for crystalline Ba2HfZr at its relaxed geometry.

Unit cell a=7.3412 b=7.3412 c=7.3412 alpha=100.88 beta=100.88 gamma=128.50
Closest atoms and distances in Å follow each position.
Fractional coordinates of all 8 atoms:
Ba: 0.1219 0.6250 0.9969  2 Ba 3.19, 2 Hf 3.38, 2 Zr 3.42
Ba: 0.3750 0.3719 0.4969  2 Ba 3.19, 2 Hf 3.38, 2 Zr 3.42
Ba: 0.6281 0.1250 0.0031  2 Ba 3.19, 2 Hf 3.38, 2 Zr 3.42
Ba: 0.8750 0.8781 0.5031  2 Ba 3.19, 2 Hf 3.38, 2 Zr 3.42
Hf: 0.0000 0.0000 0.0000  2 Zr 3.19, 4 Ba 3.38
Hf: 0.7500 0.2500 0.5000  2 Zr 3.19, 4 Ba 3.38
Zr: 0.2500 0.7500 0.5000  2 Hf 3.19, 4 Ba 3.42
Zr: 0.5000 0.5000 0.0000  2 Hf 3.19, 4 Ba 3.42

density of states at the Fermi level	6.0	states/eV/f.u.
crystal system	tetragonal
space group	I-42d, No. 122

Entry 2
## Ba2HfZr (PBE)

Data for crystalline Ba2HfZr at its relaxed geometry.

Unit cell a=5.7242 b=5.7242 c=5.7242 alpha=60.00 beta=60.00 gamma=60.00
Closest atoms and distances in Å follow each position.
Fractional coordinates of all 4 atoms:
Ba: 0.2500 0.2500 0.2500  4 Hf 3.51, 4 Zr 3.51
Ba: 0.7500 0.7500 0.7500  4 Hf 3.51, 4 Zr 3.51
Hf: 0.0000 0.0000 0.0000  8 Ba 3.51
Zr: 0.5000 0.5000 0.5000  8 Ba 3.51

density of states at the Fermi level	6.8	states/eV/f.u.
crystal system	cubic
space group	Fm-3m, No. 225

Relative to the most stable one, in kJ/mol of atoms, the structures come out at entry 1 16.4; entry 2 0.0.

Entry 1
## BaHf2Zr2 (PBE)

Data for crystalline BaHf2Zr2 at its relaxed geometry.

Unit cell a=9.1375 b=9.1375 c=3.3029 alpha=90.00 beta=90.00 gamma=90.00
Closest atoms and distances in Å follow each position.
Fractional coordinates of all 10 atoms:
Ba: 0.0000 0.0000 0.0000  2 Ba 3.30, 4 Zr 3.66
Ba: 0.5000 0.5000 0.0000  2 Ba 3.30, 4 Zr 3.66
Hf: 0.1675 0.3325 0.5000  6 Zr 3.12-3.23, 2 Hf 3.30
Hf: 0.3325 0.8325 0.5000  6 Zr 3.12-3.23, 2 Hf 3.30
Hf: 0.6675 0.1675 0.5000  6 Zr 3.12-3.23, 2 Hf 3.30
Hf: 0.8325 0.6675 0.5000  6 Zr 3.12-3.23, 2 Hf 3.30
Zr: 0.1176 0.6176 0.0000  3 Zr 3.04-3.30, 6 Hf 3.12-3.23
Zr: 0.3824 0.1176 0.0000  3 Zr 3.04-3.30, 6 Hf 3.12-3.23
Zr: 0.6176 0.8824 0.0000  3 Zr 3.04-3.30, 6 Hf 3.12-3.23
Zr: 0.8824 0.3824 0.0000  3 Zr 3.04-3.30, 6 Hf 3.12-3.23

density of states at the Fermi level	7.7	states/eV/f.u.
crystal system	tetragonal
space group	P4/mbm, No. 127

Entry 2
## BaHf2Zr2 (PBE)

Data for crystalline BaHf2Zr2 at its relaxed geometry.

Unit cell a=9.1400 b=9.1400 c=3.3127 alpha=90.00 beta=90.00 gamma=90.00
Closest atoms and distances in Å follow each position.
Fractional coordinates of all 10 atoms:
Ba: 0.0000 0.0000 0.0000  2 Ba 3.31, 4 Hf 3.66
Ba: 0.5000 0.5000 0.0000  2 Ba 3.31, 4 Hf 3.66
Hf: 0.1168 0.3832 0.0000  3 Hf 3.02-3.31, 6 Zr 3.11-3.25
Hf: 0.3832 0.8832 0.0000  3 Hf 3.02-3.31, 6 Zr 3.11-3.25
Hf: 0.6168 0.1168 0.0000  3 Hf 3.02-3.31, 6 Zr 3.11-3.25
Hf: 0.8832 0.6168 0.0000  3 Hf 3.02-3.31, 6 Zr 3.11-3.25
Zr: 0.1666 0.6666 0.5000  6 Hf 3.11-3.25, 2 Zr 3.31
Zr: 0.3334 0.1666 0.5000  6 Hf 3.11-3.25, 2 Zr 3.31
Zr: 0.6666 0.8334 0.5000  6 Hf 3.11-3.25, 2 Zr 3.31
Zr: 0.8334 0.3334 0.5000  6 Hf 3.11-3.25, 2 Zr 3.31

density of states at the Fermi level	6.1	states/eV/f.u.
crystal system	tetragonal
space group	P4/mbm, No. 127

Relative to the most stable one, in kJ/mol of atoms, the structures come out at entry 1 1.3; entry 2 0.0.

Entry 1
## Ba4Hg (PBE)

Data for crystalline Ba4Hg at its relaxed geometry.

Unit cell a=6.7447 b=6.7447 c=6.7447 alpha=90.00 beta=90.00 gamma=90.00
Closest atoms and distances in Å follow each position.
Fractional coordinates of all 5 atoms:
Ba: 0.0000 0.0000 0.0000  12 Ba 4.77
Ba: 0.0000 0.5000 0.5000  2 Hg 3.37
Ba: 0.5000 0.0000 0.5000  2 Hg 3.37
Ba: 0.5000 0.5000 0.0000  2 Hg 3.37
Hg: 0.5000 0.5000 0.5000  6 Ba 3.37

density of states at the Fermi level	7.7	states/eV/f.u.
crystal system	cubic
space group	Pm-3m, No. 221

Entry 2
## Ba4Hg (PBE)

Data for crystalline Ba4Hg at its relaxed geometry.

Unit cell a=14.6681 b=14.6681 c=14.6681 alpha=163.12 beta=163.12 gamma=23.95
Closest atoms and distances in Å follow each position.
Fractional coordinates of all 5 atoms:
Ba: 0.0690 0.0690 0.0000  4 Hg 3.63, 1 Ba 3.96
Ba: 0.3093 0.3093 0.0000  12 Ba 4.30-4.63
Ba: 0.6907 0.6907 0.0000  12 Ba 4.30-4.63
Ba: 0.9310 0.9310 0.0000  4 Hg 3.63, 1 Ba 3.96
Hg: 0.5000 0.5000 0.0000  8 Ba 3.63

density of states at the Fermi level	7.4	states/eV/f.u.
crystal system	tetragonal
space group	I4/mmm, No. 139

Relative to the most stable one, in kJ/mol of atoms, the structures come out at entry 1 6.0; entry 2 0.0.